(1)
# TlCuSe2 GGA-PBE optimized geometry
# V   299 Å³ per cell
# DFT total energy   -13.41 eV per formula unit
# Mass density   7.1 Mg/m³
# ΔE_f (raw)   0.021 eV per formula unit
data_TlCuSe2
_cell_length_a 3.6235
_cell_length_b 3.6235
_cell_length_c 26.3087
_cell_angle_alpha 90.00
_cell_angle_beta 90.00
_cell_angle_gamma 120.00
_space_group_name_H-M_alt 'R -3 m'
_space_group_IT_number 166
_space_group_name_Hall '-R 3 2"'
loop_
_atom_site_label
_atom_site_type_symbol
_atom_site_fract_x
_atom_site_fract_y
_atom_site_fract_z
Tl1 Tl 0.0000 0.0000 0.0000
Cu1 Cu 0.0000 0.0000 0.5000
Se1 Se 0.0000 0.0000 0.1157


(2)
# Ta2HgMo GGA-PBE optimized geometry
# V   73 Å³ per cell
# DFT total energy   -33.48 eV per formula unit
# Mass density   14.9 Mg/m³
# ΔH_f (0 K)   0.34 eV per atom
data_Ta2HgMo
_cell_length_a 2.8166
_cell_length_b 2.8166
_cell_length_c 9.2262
_cell_angle_alpha 90.00
_cell_angle_beta 90.00
_cell_angle_gamma 90.00
_space_group_name_H-M_alt 'P 4/m m m'
_space_group_IT_number 123
_space_group_name_Hall '-P 4 2'
loop_
_atom_site_label
_atom_site_type_symbol
_atom_site_fract_x
_atom_site_fract_y
_atom_site_fract_z
Ta1 Ta 0.0000 0.0000 0.2424
Hg1 Hg 0.5000 0.5000 0.5000
Mo1 Mo 0.5000 0.5000 0.0000


(3)
# Mo2HPt GGA-PBE optimized geometry
# V   236 Å³ per cell
# Relative energy among the computed polymorphs   578.4 meV/atom
# DFT total energy   -28.92 eV per formula unit
# Mass density   10.9 Mg/m³
data_Mo2HPt
_cell_length_a 4.6918
_cell_length_b 4.6918
_cell_length_c 10.7017
_cell_angle_alpha 90.00
_cell_angle_beta 90.00
_cell_angle_gamma 90.00
_space_group_name_H-M_alt 'I -4 2 d'
_space_group_IT_number 122
_space_group_name_Hall 'I -4 2bw'
loop_
_atom_site_label
_atom_site_type_symbol
_atom_site_fract_x
_atom_site_fract_y
_atom_site_fract_z
Mo1 Mo 0.1020 0.2500 0.1250
H1 H 0.0000 0.0000 0.0000
Pt1 Pt 0.0000 0.0000 0.5000


What are the magnetization values for these records? In order: 0.000; 0.000; 0.000 μB/f.u..